VASP calculation (PBE) on an optimized crystal structure of PmMgCu.

Lattice parameters (Å, degrees): 3.499 4.744 4.744 120.00 90.00 90.00
Positions (direct):
Mg 0.167 0.333 0.667
Cu 0.167 0.000 0.000
Pm 0.667 0.667 0.333

Results
E above lowest polymorph   35 kJ/mol of formula units
ΔH_f (0 K)   -6.0 kJ/mol of atoms